Material: Li2Ca2Pt
Method: DFT, PBE
State: optimized geometry

Summary:
* mass density: 4.27 g/cm³
* energy above the most stable polymorph in this dataset: 112.7 meV per atom
* final energy: -30.28 eV for the cell shown

a = 6.940 Å, b = 6.940 Å, c = 4.671 Å
α = 90.00°, β = 90.00°, γ = 90.00°
Fractional coordinates of all 10 atoms:
Li: 0.135 0.365 0.000
Li: 0.365 0.865 0.000
Li: 0.635 0.135 0.000
Li: 0.865 0.635 0.000
Ca: 0.194 0.694 0.500
Ca: 0.306 0.194 0.500
Ca: 0.694 0.806 0.500
Ca: 0.806 0.306 0.500
Pt: 0.000 0.000 0.000
Pt: 0.500 0.500 0.000

***

Material: MgBi4O8
Method: DFT, PBE
State: optimized geometry

Summary:
* formation energy without anion corrections: -1.28 eV per atom
* mass density: 7.76 g/cm³
* energy above the most stable polymorph in this dataset: 0.0 meV per atom
* final energy: -73.37 eV for the cell shown

a = 7.028 Å, b = 7.028 Å, c = 9.570 Å
α = 109.92°, β = 109.92°, γ = 28.56°
Fractional coordinates of all 13 atoms:
Mg: 0.000 0.000 0.000
Bi: 0.255 0.255 0.937
Bi: 0.455 0.455 0.679
Bi: 0.707 0.707 0.286
Bi: 0.997 0.997 0.344
O: 0.055 0.055 0.791
O: 0.164 0.164 0.408
O: 0.169 0.169 0.095
O: 0.425 0.425 0.881
O: 0.525 0.525 0.512
O: 0.535 0.535 0.189
O: 0.846 0.846 0.058
O: 0.860 0.860 0.567

***

Material: Tm2MnFe
Method: DFT, PBE
State: optimized geometry

Summary:
* mass density: 8.48 g/cm³
* energy above the most stable polymorph in this dataset: 476.7 meV per atom
* final energy: -24.14 eV for the cell shown

a = 9.827 Å, b = 9.827 Å, c = 9.827 Å
α = 19.00°, β = 19.00°, γ = 19.00°
Fractional coordinates of all 4 atoms:
Tm: 0.100 0.100 0.100
Tm: 0.900 0.900 0.900
Mn: 0.000 0.000 0.000
Fe: 0.500 0.500 0.500

***

energy above the most stable polymorph in this dataset of number 2 (MgBi4O8)?
0.0 meV per atom